The following is a DFT calculation (PBE) of a relaxed Ce3Cd2In3Os crystal.

ΔH_f (0 K): -0.211 eV/atom

Geometry as CIF:
```
data_Ce3Cd2In3Os
_chemical_formula_sum 'Ce3 Cd2 In3 Os1'
_cell_length_a 8.5307
_cell_length_b 8.5307
_cell_length_c 3.6717
_cell_angle_alpha 90.00
_cell_angle_beta 90.00
_cell_angle_gamma 120.00
_symmetry_space_group_name_H-M 'P -6 2 m'
_symmetry_Int_Tables_number 189
_symmetry_space_group_name_Hall 'P -6 -2'
loop_
_atom_site_label
_atom_site_type_symbol
_atom_site_fract_x
_atom_site_fract_y
_atom_site_fract_z
_atom_site_occupancy
Ce1 Ce 0.0000 0.7440 0.0000 1
Cd1 Cd 0.3333 0.6667 0.0000 1
In1 In 0.0000 0.3890 0.5000 1
Os1 Os 0.0000 0.0000 0.5000 1
```

The following is a DFT calculation (PBE) of a relaxed CeCdInPb crystal.

ΔH_f (0 K): -0.177 eV/atom

Geometry as CIF:
```
data_CeCdInPb
_chemical_formula_sum 'Ce4 Cd4 In4 Pb4'
_cell_length_a 7.575
_cell_length_b 7.575
_cell_length_c 7.575
_cell_angle_alpha 90.00
_cell_angle_beta 90.00
_cell_angle_gamma 90.00
_symmetry_space_group_name_H-M 'F -4 3 m'
_symmetry_Int_Tables_number 216
_symmetry_space_group_name_Hall 'F -4 2 3'
loop_
_atom_site_label
_atom_site_type_symbol
_atom_site_fract_x
_atom_site_fract_y
_atom_site_fract_z
_atom_site_occupancy
Ce1 Ce 0.000 0.000 0.000 1
Cd1 Cd 0.000 0.000 0.500 1
In1 In 0.250 0.250 0.750 1
Pb1 Pb 0.250 0.250 0.250 1
```

The following is a DFT calculation (PBE) of a relaxed CeCdInPb crystal.

ΔH_f (0 K): -0.345 eV/atom

Geometry as CIF:
```
data_CeCdInPb
_chemical_formula_sum 'Ce1 Cd1 In1 Pb1'
_cell_length_a 4.600
_cell_length_b 4.740
_cell_length_c 4.911
_cell_angle_alpha 90.00
_cell_angle_beta 90.00
_cell_angle_gamma 90.00
_symmetry_space_group_name_H-M 'P m m m'
_symmetry_Int_Tables_number 47
_symmetry_space_group_name_Hall '-P 2 2'
loop_
_atom_site_label
_atom_site_type_symbol
_atom_site_fract_x
_atom_site_fract_y
_atom_site_fract_z
_atom_site_occupancy
Ce1 Ce 0.000 0.000 0.000 1
Cd1 Cd 0.000 0.500 0.500 1
In1 In 0.500 0.000 0.500 1
Pb1 Pb 0.500 0.500 0.000 1
```

The following is a DFT calculation (PBE) of a relaxed Ce2PmCd2In2 crystal.

ΔH_f (0 K): -0.233 eV/atom

Geometry as CIF:
```
data_Ce2PmCd2In2
_chemical_formula_sum 'Ce6 Pm3 Cd6 In6'
_cell_length_a 4.8147
_cell_length_b 4.8147
_cell_length_c 27.6487
_cell_angle_alpha 90.00
_cell_angle_beta 90.00
_cell_angle_gamma 120.00
_symmetry_space_group_name_H-M 'R -3 m'
_symmetry_Int_Tables_number 166
_symmetry_space_group_name_Hall '-R 3 2"'
loop_
_atom_site_label
_atom_site_type_symbol
_atom_site_fract_x
_atom_site_fract_y
_atom_site_fract_z
_atom_site_occupancy
Ce1 Ce 0.0000 0.0000 0.1443 1
Pm1 Pm 0.0000 0.0000 0.0000 1
Cd1 Cd 0.0000 0.0000 0.4159 1
In1 In 0.0000 0.0000 0.2681 1
```

The following is a DFT calculation (PBE) of a relaxed Ce2PrCd2In2 crystal.

ΔH_f (0 K): -0.243 eV/atom

Geometry as CIF:
```
data_Ce2PrCd2In2
_chemical_formula_sum 'Ce6 Pr3 Cd6 In6'
_cell_length_a 4.8216
_cell_length_b 4.8216
_cell_length_c 27.9776
_cell_angle_alpha 90.00
_cell_angle_beta 90.00
_cell_angle_gamma 120.00
_symmetry_space_group_name_H-M 'R -3 m'
_symmetry_Int_Tables_number 166
_symmetry_space_group_name_Hall '-R 3 2"'
loop_
_atom_site_label
_atom_site_type_symbol
_atom_site_fract_x
_atom_site_fract_y
_atom_site_fract_z
_atom_site_occupancy
Ce1 Ce 0.0000 0.0000 0.1448 1
Pr1 Pr 0.0000 0.0000 0.0000 1
Cd1 Cd 0.0000 0.0000 0.4175 1
In1 In 0.0000 0.0000 0.2667 1
```

The following is a DFT calculation (PBE) of a relaxed CePr2Cd2In2 crystal.

ΔH_f (0 K): -0.257 eV/atom

Geometry as CIF:
```
data_CePr2Cd2In2
_chemical_formula_sum 'Ce3 Pr6 Cd6 In6'
_cell_length_a 5.0552
_cell_length_b 5.0552
_cell_length_c 27.1891
_cell_angle_alpha 90.00
_cell_angle_beta 90.00
_cell_angle_gamma 120.00
_symmetry_space_group_name_H-M 'R -3 m'
_symmetry_Int_Tables_number 166
_symmetry_space_group_name_Hall '-R 3 2"'
loop_
_atom_site_label
_atom_site_type_symbol
_atom_site_fract_x
_atom_site_fract_y
_atom_site_fract_z
_atom_site_occupancy
Ce1 Ce 0.0000 0.0000 0.0000 1
Pr1 Pr 0.0000 0.0000 0.1274 1
Cd1 Cd 0.0000 0.0000 0.3957 1
In1 In 0.0000 0.0000 0.2640 1
```

The following is a DFT calculation (PBE) of a relaxed CeCdInPt crystal.

ΔH_f (0 K): -0.536 eV/atom

Geometry as CIF:
```
data_CeCdInPt
_chemical_formula_sum 'Ce4 Cd4 In4 Pt4'
_cell_length_a 7.080
_cell_length_b 7.080
_cell_length_c 7.080
_cell_angle_alpha 90.00
_cell_angle_beta 90.00
_cell_angle_gamma 90.00
_symmetry_space_group_name_H-M 'F -4 3 m'
_symmetry_Int_Tables_number 216
_symmetry_space_group_name_Hall 'F -4 2 3'
loop_
_atom_site_label
_atom_site_type_symbol
_atom_site_fract_x
_atom_site_fract_y
_atom_site_fract_z
_atom_site_occupancy
Ce1 Ce 0.000 0.000 0.000 1
Cd1 Cd 0.250 0.250 0.250 1
In1 In 0.000 0.000 0.500 1
Pt1 Pt 0.250 0.250 0.750 1
```

The following is a DFT calculation (PBE) of a relaxed CeCdInRh crystal.

ΔH_f (0 K): -0.336 eV/atom

Geometry as CIF:
```
data_CeCdInRh
_chemical_formula_sum 'Ce4 Cd4 In4 Rh4'
_cell_length_a 7.019
_cell_length_b 7.019
_cell_length_c 7.019
_cell_angle_alpha 90.00
_cell_angle_beta 90.00
_cell_angle_gamma 90.00
_symmetry_space_group_name_H-M 'F -4 3 m'
_symmetry_Int_Tables_number 216
_symmetry_space_group_name_Hall 'F -4 2 3'
loop_
_atom_site_label
_atom_site_type_symbol
_atom_site_fract_x
_atom_site_fract_y
_atom_site_fract_z
_atom_site_occupancy
Ce1 Ce 0.000 0.000 0.000 1
Cd1 Cd 0.250 0.250 0.250 1
In1 In 0.000 0.000 0.500 1
Rh1 Rh 0.250 0.250 0.750 1
```

The following is a DFT calculation (PBE) of a relaxed CeCdInSb crystal.

Geometry as CIF:
```
data_CeCdInSb
_chemical_formula_sum 'Ce1 Cd1 In1 Sb1'
_cell_length_a 4.482
_cell_length_b 4.577
_cell_length_c 5.053
_cell_angle_alpha 90.00
_cell_angle_beta 90.00
_cell_angle_gamma 90.00
_symmetry_space_group_name_H-M 'P m m m'
_symmetry_Int_Tables_number 47
_symmetry_space_group_name_Hall '-P 2 2'
loop_
_atom_site_label
_atom_site_type_symbol
_atom_site_fract_x
_atom_site_fract_y
_atom_site_fract_z
_atom_site_occupancy
Ce1 Ce 0.000 0.000 0.000 1
Cd1 Cd 0.000 0.500 0.500 1
In1 In 0.500 0.000 0.500 1
Sb1 Sb 0.500 0.500 0.000 1
```

The following is a DFT calculation (PBE) of a relaxed CeSc2Cd2In2 crystal.

ΔH_f (0 K): -0.211 eV/atom

Geometry as CIF:
```
data_CeSc2Cd2In2
_chemical_formula_sum 'Ce3 Sc6 Cd6 In6'
_cell_length_a 4.8994
_cell_length_b 4.8994
_cell_length_c 25.2713
_cell_angle_alpha 90.00
_cell_angle_beta 90.00
_cell_angle_gamma 120.00
_symmetry_space_group_name_H-M 'R -3 m'
_symmetry_Int_Tables_number 166
_symmetry_space_group_name_Hall '-R 3 2"'
loop_
_atom_site_label
_atom_site_type_symbol
_atom_site_fract_x
_atom_site_fract_y
_atom_site_fract_z
_atom_site_occupancy
Ce1 Ce 0.0000 0.0000 0.0000 1
Sc1 Sc 0.0000 0.0000 0.1358 1
Cd1 Cd 0.0000 0.0000 0.4356 1
In1 In 0.0000 0.0000 0.2620 1
```

The following is a DFT calculation (PBE) of a relaxed CeScCdIn crystal.

ΔH_f (0 K): -0.287 eV/atom

Geometry as CIF:
```
data_CeScCdIn
_chemical_formula_sum 'Ce4 Sc4 Cd4 In4'
_cell_length_a 7.420
_cell_length_b 7.420
_cell_length_c 7.420
_cell_angle_alpha 90.00
_cell_angle_beta 90.00
_cell_angle_gamma 90.00
_symmetry_space_group_name_H-M 'F -4 3 m'
_symmetry_Int_Tables_number 216
_symmetry_space_group_name_Hall 'F -4 2 3'
loop_
_atom_site_label
_atom_site_type_symbol
_atom_site_fract_x
_atom_site_fract_y
_atom_site_fract_z
_atom_site_occupancy
Ce1 Ce 0.000 0.000 0.000 1
Sc1 Sc 0.000 0.000 0.500 1
Cd1 Cd 0.250 0.250 0.250 1
In1 In 0.250 0.250 0.750 1
```

The following is a DFT calculation (PBE) of a relaxed CeSm2Cd2In2 crystal.

ΔH_f (0 K): -0.240 eV/atom

Geometry as CIF:
```
data_CeSm2Cd2In2
_chemical_formula_sum 'Ce3 Sm6 Cd6 In6'
_cell_length_a 5.0230
_cell_length_b 5.0230
_cell_length_c 26.9562
_cell_angle_alpha 90.00
_cell_angle_beta 90.00
_cell_angle_gamma 120.00
_symmetry_space_group_name_H-M 'R -3 m'
_symmetry_Int_Tables_number 166
_symmetry_space_group_name_Hall '-R 3 2"'
loop_
_atom_site_label
_atom_site_type_symbol
_atom_site_fract_x
_atom_site_fract_y
_atom_site_fract_z
_atom_site_occupancy
Ce1 Ce 0.0000 0.0000 0.0000 1
Sm1 Sm 0.0000 0.0000 0.1278 1
Cd1 Cd 0.0000 0.0000 0.3995 1
In1 In 0.0000 0.0000 0.2615 1
```

The following is a DFT calculation (PBE) of a relaxed Ce2SmCd2In2 crystal.

ΔH_f (0 K): -0.227 eV/atom

Geometry as CIF:
```
data_Ce2SmCd2In2
_chemical_formula_sum 'Ce6 Sm3 Cd6 In6'
_cell_length_a 4.8141
_cell_length_b 4.8141
_cell_length_c 27.5262
_cell_angle_alpha 90.00
_cell_angle_beta 90.00
_cell_angle_gamma 120.00
_symmetry_space_group_name_H-M 'R -3 m'
_symmetry_Int_Tables_number 166
_symmetry_space_group_name_Hall '-R 3 2"'
loop_
_atom_site_label
_atom_site_type_symbol
_atom_site_fract_x
_atom_site_fract_y
_atom_site_fract_z
_atom_site_occupancy
Ce1 Ce 0.0000 0.0000 0.1442 1
Sm1 Sm 0.0000 0.0000 0.0000 1
Cd1 Cd 0.0000 0.0000 0.4153 1
In1 In 0.0000 0.0000 0.2686 1
```

Number 1: raw total energy -4.553 eV/atom. Number 2: raw total energy -3.500 eV/atom. Number 3: raw total energy -3.669 eV/atom. Number 4: raw total energy -3.651 eV/atom. Number 5: raw total energy -3.665 eV/atom. Number 6: raw total energy -3.515 eV/atom. Number 7: raw total energy -4.443 eV/atom. Number 8: raw total energy -4.571 eV/atom. Number 9: raw total energy -3.928 eV/atom. Number 10: raw total energy -3.912 eV/atom. Number 11: raw total energy -4.267 eV/atom. Number 12: raw total energy -3.480 eV/atom. Number 13: raw total energy -3.640 eV/atom.